<i>
Material: RbCa3Re
Method: DFT, PBE-GGA
State: relaxed

```
RbCa3Re
1.0
5.369 0.000 0.000
0.000 5.369 0.000
0.000 0.000 5.369
Rb Ca Re
1 3 1
Cartesian
0.000 0.000 0.000
0.000 0.000 2.685
0.000 2.685 0.000
2.685 0.000 0.000
2.685 2.685 2.685
```

For the spin magnetization, the calculation gives 0.00 μB/f.u. As for the volume: 31.0 A^3/atom.


<ii>
Material: RbCa3Re
Method: DFT, PBE-GGA
State: relaxed

```
RbCa3Re
1.0
5.777 0.000 0.000
0.000 5.777 0.000
0.000 0.000 5.777
Rb Ca Re
1 3 1
Cartesian
0.000 0.000 0.000
0.000 2.889 2.889
2.889 0.000 2.889
2.889 2.889 0.000
2.889 2.889 2.889
```

For the spin magnetization, the calculation gives 0.00 μB/f.u. As for the volume: 38.6 A^3/atom.


Tell me which of them is the least stable. Sure, it is <i>.